Model 1:
Computed, not measured: a relaxed structure of Te2MoOsI at the PBEsol level of DFT.

a b c (Å): 5.090 5.090 5.460
angles (deg): 90.00 90.00 90.00
Space group P4/mmm (No. 123)
Inequivalent atoms, fractional coordinates:
Te (0.000, 0.500, 0.000) [2 per cell]
Mo (0.000, 0.000, 0.500) [1 per cell]
Os (0.500, 0.500, 0.000) [1 per cell]
I (0.500, 0.500, 0.500) [1 per cell]

V = 28.29 Å³ per atom


Model 2:
Computed, not measured: a relaxed structure of Te2MoOsI at the PBEsol level of DFT.

a b c (Å): 5.151 5.151 5.313
angles (deg): 90.00 90.00 90.00
Space group P4/mmm (No. 123)
Inequivalent atoms, fractional coordinates:
Te (0.000, 0.500, 0.000) [2 per cell]
Mo (0.000, 0.000, 0.000) [1 per cell]
Os (0.500, 0.500, 0.500) [1 per cell]
I (0.000, 0.000, 0.500) [1 per cell]

V = 28.19 Å³ per atom


Quick one: least stable of them? model 2


Model 1:
Computed, not measured: a relaxed structure of CaNiW2 at the PBEsol level of DFT.

a b c (Å): 2.804 3.238 7.673
angles (deg): 90.00 94.30 90.00
Space group Pm (No. 6)
Inequivalent atoms, fractional coordinates:
Ca (0.000, 0.000, 0.000) [1 per cell]
Ni (0.554, 0.500, 0.270) [1 per cell]
W (0.106, 0.000, 0.452) [1 per cell]
W (0.495, 0.500, 0.675) [1 per cell]

V = 17.37 Å³ per atom


Model 2:
Computed, not measured: a relaxed structure of CaNiW2 at the PBEsol level of DFT.

a b c (Å): 2.691 2.691 8.947
angles (deg): 90.00 90.00 90.00
Space group P4/mmm (No. 123)
Inequivalent atoms, fractional coordinates:
Ca (0.000, 0.000, 0.000) [1 per cell]
Ni (0.000, 0.000, 0.500) [1 per cell]
W (0.500, 0.500, 0.297) [2 per cell]

V = 16.20 Å³ per atom


Quick one: least stable of them? model 2


Model 1:
Computed, not measured: a relaxed structure of Li2ReAu at the PBEsol level of DFT.

a b c (Å): 3.694 3.766 8.964
angles (deg): 90.00 90.00 90.00
Space group Cmm2 (No. 35)
Inequivalent atoms, fractional coordinates:
Li (0.000, 0.000, 0.000) [2 per cell]
Li (0.000, 0.500, 0.302) [2 per cell]
Re (0.000, 0.000, 0.532) [2 per cell]
Au (0.000, 0.500, 0.781) [2 per cell]

V = 15.59 Å³ per atom


Model 2:
Computed, not measured: a relaxed structure of Li2ReAu at the PBEsol level of DFT.

a b c (Å): 2.615 2.615 8.337
angles (deg): 90.00 90.00 90.00
Space group P4/mmm (No. 123)
Inequivalent atoms, fractional coordinates:
Li (0.000, 0.000, 0.243) [2 per cell]
Re (0.500, 0.500, 0.500) [1 per cell]
Au (0.500, 0.500, 0.000) [1 per cell]

V = 14.25 Å³ per atom


Quick one: least stable of them? model 1


Model 1:
Computed, not measured: a relaxed structure of TcIr2Ru at the PBEsol level of DFT.

a b c (Å): 2.684 3.816 5.393
angles (deg): 90.00 90.00 90.00
Space group Pmm2 (No. 25)
Inequivalent atoms, fractional coordinates:
Tc (0.000, 0.000, 0.000) [1 per cell]
Ir (0.000, 0.000, 0.507) [1 per cell]
Ir (0.500, 0.500, 0.246) [1 per cell]
Ru (0.500, 0.500, 0.752) [1 per cell]

V = 13.81 Å³ per atom


Model 2:
Computed, not measured: a relaxed structure of TcIr2Ru at the PBEsol level of DFT.

a b c (Å): 2.681 3.831 5.370
angles (deg): 90.00 90.00 90.00
Space group Pmmm (No. 47)
Inequivalent atoms, fractional coordinates:
Tc (0.000, 0.000, 0.000) [1 per cell]
Ir (0.500, 0.500, 0.250) [2 per cell]
Ru (0.000, 0.000, 0.500) [1 per cell]

V = 13.79 Å³ per atom


Quick one: least stable of them? model 1


Model 1:
Computed, not measured: a relaxed structure of TlMo2Pb at the PBEsol level of DFT.

a b c (Å): 4.866 3.128 5.335
angles (deg): 90.00 111.13 90.00
Space group P2/m (No. 10)
Inequivalent atoms, fractional coordinates:
Tl (0.000, 0.000, 0.000) [1 per cell]
Mo (0.500, 0.000, 0.500) [1 per cell]
Mo (0.500, 0.500, 0.000) [1 per cell]
Pb (0.000, 0.500, 0.500) [1 per cell]

V = 18.93 Å³ per atom


Model 2:
Computed, not measured: a relaxed structure of TlMo2Pb at the PBEsol level of DFT.

a b c (Å): 3.341 5.006 9.177
angles (deg): 90.00 90.00 90.00
Space group Cmmm (No. 65)
Inequivalent atoms, fractional coordinates:
Tl (0.000, 0.000, 0.000) [2 per cell]
Mo (0.000, 0.500, 0.251) [4 per cell]
Pb (0.000, 0.000, 0.500) [2 per cell]

V = 19.18 Å³ per atom


Quick one: least stable of them? model 2


Model 1:
Computed, not measured: a relaxed structure of ZnCu2Br at the PBEsol level of DFT.

a b c (Å): 3.225 3.225 6.005
angles (deg): 90.00 90.00 90.00
Space group P4/mmm (No. 123)
Inequivalent atoms, fractional coordinates:
Zn (0.000, 0.000, 0.000) [1 per cell]
Cu (0.500, 0.500, 0.197) [2 per cell]
Br (0.000, 0.000, 0.500) [1 per cell]

V = 15.62 Å³ per atom


Model 2:
Computed, not measured: a relaxed structure of ZnCu2Br at the PBEsol level of DFT.

a b c (Å): 7.226 4.043 5.317
angles (deg): 90.00 94.33 90.00
Space group C2/m (No. 12)
Inequivalent atoms, fractional coordinates:
Zn (0.000, 0.000, 0.000) [2 per cell]
Cu (0.169, 0.500, 0.908) [4 per cell]
Br (0.000, 0.500, 0.500) [2 per cell]

V = 19.36 Å³ per atom


Quick one: least stable of them? model 1